Material: ReSi23
Method: DFT, PBE
State: relaxed

Properties
Total energy: -130.32 eV per formula unit
DOS at the Fermi energy: 0.19 states/eV/atom
Theoretical density: 2.61 g cm⁻³
Spin magnetization: 0.19 μB per atom

```
data_ReSi23
_chemical_formula_sum 'Re2 Si46'
_cell_length_a 10.195
_cell_length_b 10.195
_cell_length_c 10.195
_cell_angle_alpha 90.00
_cell_angle_beta 90.00
_cell_angle_gamma 90.00
_space_group_name_H-M_alt 'P 1'
_space_group_IT_number 1
loop_
_space_group_symop_operation_xyz
'x,y,z'
loop_
_atom_site_label
_atom_site_fract_x
_atom_site_fract_y
_atom_site_fract_z
Re1 0.000 0.000 0.000
Re2 0.500 0.500 0.500
Si1 0.000 0.116 0.308
Si2 0.000 0.116 0.692
Si3 0.000 0.250 0.500
Si4 0.000 0.750 0.500
Si5 0.000 0.884 0.308
Si6 0.000 0.884 0.692
Si7 0.116 0.308 0.000
Si8 0.116 0.692 0.000
Si9 0.182 0.182 0.182
Si10 0.182 0.182 0.818
Si11 0.182 0.818 0.182
Si12 0.182 0.818 0.818
Si13 0.192 0.384 0.500
Si14 0.192 0.616 0.500
Si15 0.250 0.500 0.000
Si16 0.308 0.000 0.116
Si17 0.308 0.000 0.884
Si18 0.318 0.318 0.318
Si19 0.318 0.318 0.682
Si20 0.318 0.682 0.318
Si21 0.318 0.682 0.682
Si22 0.384 0.500 0.192
Si23 0.384 0.500 0.808
Si24 0.500 0.000 0.250
Si25 0.500 0.000 0.750
Si26 0.500 0.192 0.384
Si27 0.500 0.192 0.616
Si28 0.500 0.808 0.384
Si29 0.500 0.808 0.616
Si30 0.616 0.500 0.192
Si31 0.616 0.500 0.808
Si32 0.682 0.318 0.318
Si33 0.682 0.318 0.682
Si34 0.682 0.682 0.318
Si35 0.682 0.682 0.682
Si36 0.692 0.000 0.116
Si37 0.692 0.000 0.884
Si38 0.750 0.500 0.000
Si39 0.808 0.384 0.500
Si40 0.808 0.616 0.500
Si41 0.818 0.182 0.182
Si42 0.818 0.182 0.818
Si43 0.818 0.818 0.182
Si44 0.818 0.818 0.818
Si45 0.884 0.308 0.000
Si46 0.884 0.692 0.000
```

Material: Re2Si
Method: DFT, PBE
State: relaxed

Properties
Distance to the lowest polymorph of the same formula: 1040 meV per atom
Total energy: -27.97 eV per formula unit
DOS at the Fermi energy: 0.75 states/eV/atom
Theoretical density: 13.64 g cm⁻³
Spin magnetization: 0.00 μB per atom

```
data_Re2Si
_chemical_formula_sum 'Re4 Si2'
_cell_length_a 5.166
_cell_length_b 5.166
_cell_length_c 5.166
_cell_angle_alpha 60.00
_cell_angle_beta 60.00
_cell_angle_gamma 60.00
_space_group_name_H-M_alt 'P 1'
_space_group_IT_number 1
loop_
_space_group_symop_operation_xyz
'x,y,z'
loop_
_atom_site_label
_atom_site_fract_x
_atom_site_fract_y
_atom_site_fract_z
Re1 0.000 0.000 0.000
Re2 0.000 0.000 0.500
Re3 0.000 0.500 0.000
Re4 0.500 0.000 0.000
Si1 0.375 0.375 0.375
Si2 0.625 0.625 0.625
```

Material: Re2Si
Method: DFT, PBE
State: relaxed

Properties
Distance to the lowest polymorph of the same formula: 521 meV per atom
Total energy: -29.53 eV per formula unit
DOS at the Fermi energy: 1.11 states/eV/atom
Theoretical density: 15.59 g cm⁻³
Spin magnetization: 0.00 μB per atom

```
data_Re2Si
_chemical_formula_sum 'Re4 Si2'
_cell_length_a 4.397
_cell_length_b 4.397
_cell_length_c 5.095
_cell_angle_alpha 90.00
_cell_angle_beta 90.00
_cell_angle_gamma 120.00
_space_group_name_H-M_alt 'P 1'
_space_group_IT_number 1
loop_
_space_group_symop_operation_xyz
'x,y,z'
loop_
_atom_site_label
_atom_site_fract_x
_atom_site_fract_y
_atom_site_fract_z
Re1 0.000 0.000 0.000
Re2 0.000 0.000 0.500
Re3 0.333 0.667 0.250
Re4 0.667 0.333 0.750
Si1 0.333 0.667 0.750
Si2 0.667 0.333 0.250
```

Q: theoretical density of number 1 (ReSi23)?
A: 2.61 g cm⁻³

Q: The highest spin magnetization belongs to which entry?
A: ReSi23

Q: Number 3 is which compound?
A: Re2Si